Entry from the Alexandria database: K2Cd2HgO4 after structural relaxation (GGA-PBE).

Cell: 3.5971 7.6539 6.4341 Å, 105.36 90.00 103.59°
Last column: nearest neighbours and their distance in Å.
Positions (direct):
O 0.2329 0.4659 0.2124  3 Cd 2.23-2.38
O 0.5282 0.0563 0.7865  1 Cd 2.24, 2 Hg 2.37
O 0.7671 0.5341 0.7876  3 Cd 2.23-2.38
O 0.4718 0.9437 0.2135  1 Cd 2.24, 2 Hg 2.37
Hg 0.0000 0.0000 0.0000  4 O 2.37
Cd 0.3304 0.6607 0.9746  4 O 2.23-2.38
Cd 0.6696 0.3393 0.0254  4 O 2.23-2.38
K 0.1274 0.2549 0.5301  7 O 2.90-3.19
K 0.8726 0.7451 0.4699  7 O 2.90-3.19

Properties
- Symmetry: No. 12
- E_tot: -3.59 eV per atom
- Formation energy without anion corrections: -0.910 eV/atom



Entry from the Alexandria database: K6HgO2 after structural relaxation (GGA-PBE).

Cell: 7.6825 7.1937 7.1937 Å, 120.00 90.00 90.00°
Last column: nearest neighbours and their distance in Å.
Positions (direct):
O 0.5000 0.6667 0.3333  6 K 2.65
O 0.5000 0.3333 0.6667  6 K 2.65
K 0.6927 0.5998 0.5998  2 O 2.65
K 0.3073 0.5998 0.0000  2 O 2.65
K 0.6927 0.4002 0.0000  2 O 2.65
K 0.3073 0.0000 0.5998  2 O 2.65
K 0.6927 0.0000 0.4002  2 O 2.65
K 0.3073 0.4002 0.4002  2 O 2.65
Hg 0.0000 0.0000 0.0000  6 K 3.72

Properties
- Symmetry: No. 162
- E_tot: -2.59 eV per atom
- Formation energy without anion corrections: -0.728 eV/atom



Entry from the Alexandria database: SnPIr3 after structural relaxation (GGA-PBE).

Cell: 4.8563 4.8563 4.8563 Å, 90.00 90.00 90.00°
Last column: nearest neighbours and their distance in Å.
Positions (direct):
Ir 0.0000 0.5000 0.0000  2 Sn 2.43
Ir 0.5000 0.0000 0.0000  2 Sn 2.43
Ir 0.0000 0.0000 0.5000  2 Sn 2.43
P 0.5000 0.5000 0.5000  12 Ir 3.43
Sn 0.0000 0.0000 0.0000  6 Ir 2.43

Properties
- Calculated formation energy: 2.13 eV/atom
- Symmetry: No. 221
- E_tot: -5.07 eV per atom



Entry from the Alexandria database: AsOsAu after structural relaxation (GGA-PBE).

Cell: 2.9571 2.9571 7.1047 Å, 90.00 90.00 120.00°
Last column: nearest neighbours and their distance in Å.
Positions (direct):
Au 0.6667 0.3333 0.3604  3 Os 2.93, 6 Au 2.96
As 0.0000 0.0000 0.9432  3 Os 2.45
Os 0.3333 0.6667 0.6963  3 As 2.45

Properties
- Calculated formation energy: 0.32 eV/atom
- Symmetry: No. 156
- E_tot: -6.06 eV per atom
- Offset from the most stable computed form: 0 meV per atom



Entry from the Alexandria database: Cd2In8Hg3 after structural relaxation (GGA-PBE).

Cell: 4.8527 8.9476 9.5470 Å, 115.73 70.97 97.18°
Last column: nearest neighbours and their distance in Å.
Positions (direct):
Cd 0.3181 0.2924 0.5490  7 In 2.99-3.23
Cd 0.6819 0.7076 0.4510  7 In 2.99-3.23
In 0.5549 0.3668 0.2284  2 Cd 2.99-3.23, 4 In 3.07-3.29, 2 Hg 3.09-3.28
In 0.6921 0.0937 0.6381  1 Hg 3.06, 3 Cd 3.13-3.38, 3 In 3.18-3.39
In 0.0473 0.8092 0.6869  2 Hg 3.06-3.23, 2 Cd 3.08-3.13, 3 In 3.12-3.39
In 0.1859 0.5378 0.1309  5 In 3.07-3.34, 2 Hg 3.09-3.19, 1 Cd 3.11
In 0.9527 0.1908 0.3131  2 Hg 3.06-3.23, 2 Cd 3.08-3.13, 3 In 3.12-3.39
In 0.4451 0.6332 0.7716  2 Cd 2.99-3.23, 4 In 3.07-3.29, 2 Hg 3.09-3.28
In 0.8141 0.4622 0.8691  5 In 3.07-3.34, 2 Hg 3.09-3.19, 1 Cd 3.11
In 0.3079 0.9063 0.3619  1 Hg 3.06, 3 Cd 3.13-3.38, 3 In 3.18-3.39
Hg 0.9041 0.8217 0.1007  5 In 3.06-3.28, 2 Hg 3.19-3.26
Hg 0.5000 0.0000 0.0000  4 In 3.09-3.23, 4 Hg 3.19-3.26
Hg 0.0959 0.1783 0.8993  5 In 3.06-3.28, 2 Hg 3.19-3.26

Properties
- Calculated formation energy: 0.04 eV/atom
- Symmetry: No. 2
- E_tot: -1.86 eV per atom
- Offset from the most stable computed form: 0 meV per atom



Entry from the Alexandria database: Fe2PPb after structural relaxation (GGA-PBE).

Cell: 5.1798 5.1798 5.1798 Å, 136.91 136.91 62.58°
Last column: nearest neighbours and their distance in Å.
Positions (direct):
Fe 0.0000 0.0000 0.0000  4 P 2.69, 4 Pb 2.92, 4 Fe 2.92
Fe 0.2500 0.7500 0.5000  4 Pb 2.69, 4 Fe 2.92, 4 P 2.92
Pb 0.7500 0.2500 0.5000  8 Fe 2.69-2.92, 4 P 2.92
P 0.5000 0.5000 0.0000  8 Fe 2.69-2.92, 4 Pb 2.92

Properties
- Calculated formation energy: 0.59 eV/atom
- Symmetry: No. 119
- E_tot: -5.92 eV per atom